No. 1
Compound: Al3RuSe
Source: Alexandria
Functional: GGA-PBE
Structure: optimized geometry

abc: 4.758 4.758 4.758
angles: 90.00 90.00 90.00
Space group Pm-3m (No. 221)
Inequivalent atoms, fractional coordinates:
1 Al 0.000 0.000 0.500 x3
2 Ru 0.500 0.500 0.500 x1
3 Se 0.000 0.000 0.000 x1

Uncorrected formation energy in eV per atom: 1.067
Offset from the most stable computed form in meV/atom: 1028.6


No. 2
Compound: Al2RuSe
Source: Alexandria
Functional: GGA-PBE
Structure: optimized geometry

abc: 4.424 4.424 3.187
angles: 90.00 90.00 90.00
Space group P4/mmm (No. 123)
Inequivalent atoms, fractional coordinates:
1 Al 0.000 0.500 0.000 x2
2 Ru 0.000 0.000 0.500 x1
3 Se 0.500 0.500 0.500 x1

Uncorrected formation energy in eV per atom: -0.120


No. 3
Compound: Al2SnRuSe
Source: Alexandria
Functional: GGA-PBE
Structure: optimized geometry

abc: 4.721 4.721 5.138
angles: 90.00 90.00 90.00
Space group P4/mmm (No. 123)
Inequivalent atoms, fractional coordinates:
1 Al 0.000 0.500 0.000 x2
2 Sn 0.000 0.000 0.500 x1
3 Ru 0.000 0.000 0.000 x1
4 Se 0.500 0.500 0.500 x1

Uncorrected formation energy in eV per atom: -0.022


No. 4
Compound: AlRu2WSe
Source: Alexandria
Functional: GGA-PBE
Structure: optimized geometry

abc: 4.700 4.700 4.926
angles: 90.00 90.00 90.00
Space group P4/mmm (No. 123)
Inequivalent atoms, fractional coordinates:
1 Al 0.000 0.000 0.000 x1
2 Ru 0.000 0.500 0.500 x2
3 W 0.000 0.000 0.500 x1
4 Se 0.500 0.500 0.000 x1

Uncorrected formation energy in eV per atom: 1.380


No. 5
Compound: ZrAl2RuSe
Source: Alexandria
Functional: GGA-PBE
Structure: optimized geometry

abc: 4.694 4.694 4.998
angles: 90.00 90.00 90.00
Space group P4/mmm (No. 123)
Inequivalent atoms, fractional coordinates:
1 Zr 0.000 0.000 0.000 x1
2 Al 0.000 0.500 0.500 x2
3 Ru 0.000 0.000 0.500 x1
4 Se 0.500 0.500 0.000 x1

Uncorrected formation energy in eV per atom: -0.158


No. 6
Compound: Al2SiRu
Source: Alexandria
Functional: GGA-PBE
Structure: optimized geometry

abc: 3.099 4.406 8.350
angles: 90.00 90.00 90.00
Space group Imm2 (No. 44)
Inequivalent atoms, fractional coordinates:
1 Al 0.000 0.000 0.000 x2
2 Al 0.000 0.500 0.233 x2
3 Si 0.000 0.500 0.750 x2
4 Ru 0.000 0.000 0.479 x2

Uncorrected formation energy in eV per atom: -0.206


No. 7
Compound: Al2SiRu
Source: Alexandria
Functional: GGA-PBE
Structure: optimized geometry

abc: 4.463 2.989 4.540
angles: 90.00 110.69 90.00
Space group P2/m (No. 10)
Inequivalent atoms, fractional coordinates:
1 Al 0.000 0.000 0.000 x1
2 Al 0.000 0.500 0.500 x1
3 Si 0.500 0.000 0.500 x1
4 Ru 0.500 0.500 0.000 x1

Uncorrected formation energy in eV per atom: -0.231


No. 8
Compound: Al2SiRu
Source: Alexandria
Functional: GGA-PBE
Structure: optimized geometry

abc: 9.274 9.274 4.524
angles: 90.00 90.00 90.00
Space group I4_1/amd (No. 141, origin choice 2)
Inequivalent atoms, fractional coordinates:
1 Al 0.000 0.000 0.000 x8
2 Si 0.000 0.250 0.375 x4
3 Ru 0.000 0.250 0.875 x4

Uncorrected formation energy in eV per atom: -0.080


Taking the records one at a time from the top gives raw total energy values of -18.652, -20.725, -24.357, -31.831, -29.583, -23.009, -23.108, -22.505 eV per formula unit.